[1]
Density functional theory data (PBE) for a relaxed structure of AcNd2WN4.

Calculated values
- crystal system = orthorhombic
- E_form (uncorrected) (meV per atom) = -958

CIF file:
```
data_AcNd2WN4
_chemical_formula_sum 'Ac4 Nd8 W4 N16'
_space_group_name_H-M_alt 'C m c m'
_space_group_IT_number 63
_space_group_name_Hall '-C 2c 2'
_cell_length_a 3.5562
_cell_length_b 12.4865
_cell_length_c 12.4333
_cell_angle_alpha 90.00
_cell_angle_beta 90.00
_cell_angle_gamma 90.00
loop_
_atom_site_label
_atom_site_fract_x
_atom_site_fract_y
_atom_site_fract_z
Ac1 0.0000 0.0830 0.2500
Nd1 0.0000 0.3699 0.0389
W1 0.0000 0.1756 0.7500
N1 0.0000 0.0000 0.0000
N2 0.0000 0.2655 0.6272
N3 0.0000 0.4169 0.2500
```

***

[2]
Density functional theory data (PBE) for a relaxed structure of Sc4ZnC2.

Calculated values
- crystal system = orthorhombic
- DFT formation energy (eV per atom) = -0.36

CIF file:
```
data_Sc4ZnC2
_chemical_formula_sum 'Sc16 Zn4 C8'
_space_group_name_H-M_alt 'C m c m'
_space_group_IT_number 63
_space_group_name_Hall '-C 2c 2'
_cell_length_a 3.4204
_cell_length_b 11.2070
_cell_length_c 12.1246
_cell_angle_alpha 90.00
_cell_angle_beta 90.00
_cell_angle_gamma 90.00
loop_
_atom_site_label
_atom_site_fract_x
_atom_site_fract_y
_atom_site_fract_z
Sc1 0.0000 0.0000 0.0000
Sc2 0.0000 0.2619 0.1000
Sc3 0.0000 0.4295 0.7500
Zn1 0.0000 0.1209 0.7500
C1 0.0000 0.3654 0.5656
```

***

[3]
Density functional theory data (PBE) for a relaxed structure of CaPmHoMg.

Calculated values
- crystal system = cubic
- excess energy over the best structure of this formula in the dataset (eV per atom) = 0.0956
- DFT formation energy (eV per atom) = 0.08

CIF file:
```
data_CaPmHoMg
_chemical_formula_sum 'Ca4 Pm4 Ho4 Mg4'
_space_group_name_H-M_alt 'F -4 3 m'
_space_group_IT_number 216
_space_group_name_Hall 'F -4 2 3'
_cell_length_a 7.9869
_cell_length_b 7.9869
_cell_length_c 7.9869
_cell_angle_alpha 90.00
_cell_angle_beta 90.00
_cell_angle_gamma 90.00
loop_
_atom_site_label
_atom_site_fract_x
_atom_site_fract_y
_atom_site_fract_z
Ca1 0.0000 0.0000 0.0000
Pm1 0.0000 0.0000 0.5000
Ho1 0.2500 0.2500 0.2500
Mg1 0.2500 0.2500 0.7500
```

***

no.,raw total energy (eV per atom)
1,-8.44
2,-6.80
3,-3.15